[1]
DFT (PBE-GGA) results for a relaxed Cs2Ga2Au3 crystal.

Cell: 7.266 7.266 8.580 Å, 124.62 124.62 35.13°
Fractional coordinates of all 7 atoms:
Cs1 0.135 0.135 0.260
Cs2 0.865 0.865 0.740
Ga1 0.127 0.127 0.718
Ga2 0.873 0.873 0.282
Au1 0.339 0.339 0.081
Au2 0.500 0.500 0.500
Au3 0.661 0.661 0.919

Summary:
The calculation puts the excess energy over the best structure of this formula in the dataset at 16 meV/atom. The calculated formation energy is -246.1 meV/atom. The value obtained for the volume is 209.4 Å³ per cell. The total energy is -2.7594 eV per atom. As for the space group: No. 12.

---

[2]
DFT (PBE-GGA) results for a relaxed Ta4ReMo crystal.

Cell: 5.337 5.337 5.337 Å, 60.00 60.00 60.00°
Fractional coordinates of all 6 atoms:
Ta1 0.125 0.125 0.125
Ta2 0.125 0.125 0.625
Ta3 0.125 0.625 0.125
Ta4 0.625 0.125 0.125
Re1 0.500 0.500 0.500
Mo1 0.750 0.750 0.750

Summary:
The calculation puts the excess energy over the best structure of this formula in the dataset at 699 meV/atom. The calculated formation energy is 444.0 meV/atom. The value obtained for the volume is 107.5 Å³ per cell. The total energy is -11.3376 eV per atom. As for the space group: No. 216.

---

[3]
DFT (PBE-GGA) results for a relaxed RbAlH2 crystal.

Cell: 5.689 4.762 6.863 Å, 90.00 114.19 90.00°
Fractional coordinates of all 8 atoms:
Rb1 0.151 0.250 0.302
Rb2 0.849 0.750 0.698
Al1 0.450 0.250 0.901
Al2 0.550 0.750 0.099
H1 0.138 0.250 0.727
H2 0.416 0.750 0.277
H3 0.584 0.250 0.723
H4 0.862 0.750 0.273

Summary:
The calculation puts the excess energy over the best structure of this formula in the dataset at 0 meV/atom. The value obtained for the volume is 169.6 Å³ per cell. The total energy is -3.0467 eV per atom. As for the space group: No. 11.